(1)
# Ce3Si6IrPd2

An optimized crystal structure of Ce3Si6IrPd2 (PBE, Alexandria via LeMat-Bulk). Values from VASP.

Quantum ESPRESSO input file:
```
&SYSTEM
  ibrav = 0, nat = 12, ntyp = 4
/
ATOMIC_SPECIES
Ce 140.12 Ce.upf
Si 28.09 Si.upf
Ir 192.22 Ir.upf
Pd 106.42 Pd.upf
CELL_PARAMETERS angstrom
5.8247 0.0000 0.0000
-2.9123 5.0443 0.0000
0.0000 0.0000 7.7835
ATOMIC_POSITIONS crystal
Ce 0.0000 0.0000 0.0000
Ce 0.3333 0.6667 0.6463
Ce 0.6667 0.3333 0.3537
Si 0.1920 0.3839 0.3025
Si 0.1920 0.8080 0.3025
Si 0.3839 0.1920 0.6975
Si 0.6161 0.8080 0.3025
Si 0.8080 0.1920 0.6975
Si 0.8080 0.6161 0.6975
Ir 0.0000 0.0000 0.5000
Pd 0.3333 0.6667 0.0390
Pd 0.6667 0.3333 0.9610
```

Summary:
- E_tot: -6.330 eV per atom
- Calculated volume: 19.1 A^3/atom
- SG: P-3m1, No. 164
- Formation energy (no corrections): -0.531 eV/atom

(2)
# Cd3Pd4

An optimized crystal structure of Cd3Pd4 (PBE, Alexandria via LeMat-Bulk). Values from VASP.

Quantum ESPRESSO input file:
```
&SYSTEM
  ibrav = 0, nat = 14, ntyp = 2
/
ATOMIC_SPECIES
Cd 112.41 Cd.upf
Pd 106.42 Pd.upf
CELL_PARAMETERS angstrom
6.0893 3.5157 1.8748
-6.0893 3.5157 1.8748
0.0000 -7.0313 1.8748
ATOMIC_POSITIONS crystal
Cd 0.0591 0.7785 0.6381
Cd 0.2215 0.3619 0.9409
Cd 0.3619 0.9409 0.2215
Cd 0.6381 0.0591 0.7785
Cd 0.7785 0.6381 0.0591
Cd 0.9409 0.2215 0.3619
Pd 0.0000 0.0000 0.0000
Pd 0.1378 0.5711 0.2822
Pd 0.2822 0.1378 0.5711
Pd 0.4289 0.7178 0.8622
Pd 0.5000 0.5000 0.5000
Pd 0.5711 0.2822 0.1378
Pd 0.7178 0.8622 0.4289
Pd 0.8622 0.4289 0.7178
```

Summary:
- E_tot: -3.719 eV per atom
- ΔE_f: -0.359 eV per atom
- Calculated volume: 17.2 A^3/atom
- SG: R-3, No. 148

(3)
# Ac3ScC2N6

An optimized crystal structure of Ac3ScC2N6 (PBE, Alexandria via LeMat-Bulk). Values from VASP.

Quantum ESPRESSO input file:
```
&SYSTEM
  ibrav = 0, nat = 12, ntyp = 4
/
ATOMIC_SPECIES
Ac 227.00 Ac.upf
Sc 44.96 Sc.upf
C 12.01 C.upf
N 14.01 N.upf
CELL_PARAMETERS angstrom
5.4705 0.0000 0.0000
-2.7353 4.7376 0.0000
0.0000 0.0000 7.1424
ATOMIC_POSITIONS crystal
Ac 0.0000 0.0000 0.0000
Ac 0.3333 0.6667 0.6874
Ac 0.6667 0.3333 0.3126
Sc 0.0000 0.0000 0.5000
C 0.3333 0.6667 0.2988
C 0.6667 0.3333 0.7012
N 0.1875 0.3750 0.3083
N 0.1875 0.8125 0.3083
N 0.3750 0.1875 0.6917
N 0.6250 0.8125 0.3083
N 0.8125 0.1875 0.6917
N 0.8125 0.6250 0.6917
```

Summary:
- E_tot: -8.082 eV per atom
- Calculated volume: 15.4 A^3/atom
- SG: P-3m1, No. 164
- Formation energy (no corrections): -0.827 eV/atom

Copy entry 2 word for word.
# Cd3Pd4

An optimized crystal structure of Cd3Pd4 (PBE, Alexandria via LeMat-Bulk). Values from VASP.

Quantum ESPRESSO input file:
```
&SYSTEM
  ibrav = 0, nat = 14, ntyp = 2
/
ATOMIC_SPECIES
Cd 112.41 Cd.upf
Pd 106.42 Pd.upf
CELL_PARAMETERS angstrom
6.0893 3.5157 1.8748
-6.0893 3.5157 1.8748
0.0000 -7.0313 1.8748
ATOMIC_POSITIONS crystal
Cd 0.0591 0.7785 0.6381
Cd 0.2215 0.3619 0.9409
Cd 0.3619 0.9409 0.2215
Cd 0.6381 0.0591 0.7785
Cd 0.7785 0.6381 0.0591
Cd 0.9409 0.2215 0.3619
Pd 0.0000 0.0000 0.0000
Pd 0.1378 0.5711 0.2822
Pd 0.2822 0.1378 0.5711
Pd 0.4289 0.7178 0.8622
Pd 0.5000 0.5000 0.5000
Pd 0.5711 0.2822 0.1378
Pd 0.7178 0.8622 0.4289
Pd 0.8622 0.4289 0.7178
```

Summary:
- E_tot: -3.719 eV per atom
- ΔE_f: -0.359 eV per atom
- Calculated volume: 17.2 A^3/atom
- SG: R-3, No. 148

Q: calculated volume of number 1 (Ce3Si6IrPd2)?
A: 19.1 A^3/atom